(1)
DFT (PBE) results for a relaxed structure of KCa2Ta.

The structure in POSCAR format:
```
KCa2Ta
1.0
-3.8893 -4.6494 -4.3787
3.0262 -4.3897 -5.2430
-1.0964 2.3046 7.0288
Ca K Ta
2 1 1
Cartesian
-2.7094 -3.4399 -1.0885
-0.0340 -0.3557 -0.3786
-0.4083 -4.2763 -4.5519
0.7606 -3.1823 -1.3847
```

energy above the most stable polymorph in this dataset: 317 meV per atom
energy relative to the elements: 0.955 eV/atom
density: 3.7 Mg/m³

=====

(2)
DFT (PBE) results for a relaxed structure of CaNi5Sn7.

The structure in POSCAR format:
```
CaNi5Sn7
1.0
5.6439 0.0000 0.0000
2.8219 6.6004 -0.1896
2.8219 -0.2109 6.5997
Sn Ni Ca
7 5 1
Cartesian
8.4658 4.5215 2.1813
5.6439 0.8505 5.1835
2.8219 1.5187 1.5236
5.6439 2.2444 2.2517
5.6439 5.1807 0.8673
5.6439 4.3187 4.3326
8.4658 2.1667 4.5285
4.1579 3.1929 -0.0309
1.4859 3.1929 -0.0309
8.4658 4.7958 4.8113
4.1579 -0.0412 3.1928
1.4859 -0.0412 3.1928
5.6439 0.0470 0.0472
```

energy relative to the elements: -0.146 eV/atom
density: 7.9 Mg/m³

=====

(3)
DFT (PBE) results for a relaxed structure of Hf2Co4P3.

The structure in POSCAR format:
```
Hf2Co4P3
1.0
-8.9152 -7.6440 2.6926
7.1300 -2.1563 -9.4697
2.2631 -1.8878 2.1338
Co Hf P
16 8 12
Cartesian
0.2582 -6.5692 -6.0858
-0.9229 -6.9886 -2.1021
4.1566 -3.1064 -7.1568
0.6349 -3.6703 -0.8185
-1.9398 -3.2624 -0.8291
6.2780 -2.5003 -5.7684
3.4388 -2.9521 -3.1569
-4.1204 -8.3854 0.0534
-5.9159 -6.5513 0.4782
-5.3035 -6.4614 3.0104
-2.2626 -4.9020 1.1648
-2.8449 -7.6305 -3.7337
4.1901 -5.5431 -6.2460
0.0000 0.0000 0.0000
1.1104 -6.2931 -3.6434
0.9299 -2.2810 -3.0043
-0.3403 -9.0238 -4.5206
-0.7930 -4.3531 -3.0103
-3.5668 -5.8147 -1.3615
3.9630 -1.1985 -5.2634
-0.4335 -2.2858 1.5396
-4.9552 -4.2486 1.4966
2.3832 -1.3224 -0.5955
1.7816 -3.9855 -5.4156
-0.9665 -5.3009 -0.5628
-3.0740 -2.6357 0.9284
2.4584 -0.7435 -3.2652
2.4137 -6.6803 -5.3682
4.5101 -3.7585 -5.0066
5.8813 -1.7787 -7.8113
-2.5498 -8.3779 -1.6058
-1.1697 -6.4211 -4.4404
1.8155 -4.3495 -2.6715
-3.7896 -6.5971 1.2847
-7.3539 -6.3053 2.2210
-0.3127 -1.7163 -1.1869
```

energy relative to the elements: -0.999 eV/atom
density: 10.0 Mg/m³